Material: IrI3
Method: DFT, PBE
State: optimized geometry

Properties
- magnetic moment (μB per cell) = 0.00
- VASP energy (eV/cell) = -28.016
- calculated volume (Å³ per cell) = 303
- symmetry = No. 2
- uncorrected formation energy (eV per formula unit) = -0.5

Cell: 6.939 6.939 7.533 Å, 97.50 97.85 120.01°
Atoms (fractional coordinates):
I (0.560, 0.917, 0.206)
I (0.797, 0.798, 0.794)
I (0.082, 0.441, 0.794)
I (0.203, 0.202, 0.206)
I (0.440, 0.083, 0.794)
I (0.918, 0.559, 0.206)
Ir (0.167, 0.833, 0.000)
Ir (0.833, 0.167, 0.000)



Material: IrI
Method: DFT, PBE
State: optimized geometry

Properties
- magnetic moment (μB per cell) = 0.00
- VASP energy (eV/cell) = -71.922
- N(E_F) (states/eV per cell) = 12.70
- calculated volume (Å³ per cell) = 438
- symmetry = No. 19
- uncorrected formation energy (eV per formula unit) = 1.4

Cell: 7.656 7.488 7.638 Å, 90.00 90.00 90.00°
Atoms (fractional coordinates):
I (0.397, 0.074, 0.946)
I (0.889, 0.906, 0.892)
I (0.603, 0.574, 0.554)
I (0.111, 0.406, 0.608)
I (0.103, 0.926, 0.446)
I (0.611, 0.094, 0.392)
I (0.389, 0.594, 0.108)
I (0.897, 0.426, 0.054)
Ir (0.170, 0.866, 0.112)
Ir (0.920, 0.091, 0.191)
Ir (0.670, 0.634, 0.888)
Ir (0.420, 0.409, 0.809)
Ir (0.080, 0.591, 0.309)
Ir (0.330, 0.134, 0.612)
Ir (0.830, 0.366, 0.388)
Ir (0.580, 0.909, 0.691)



Material: IrI
Method: DFT, PBE
State: optimized geometry

Properties
- magnetic moment (μB per cell) = 0.00
- VASP energy (eV/cell) = -53.931
- N(E_F) (states/eV per cell) = 17.28
- calculated volume (Å³ per cell) = 375
- symmetry = No. 176
- uncorrected formation energy (eV per formula unit) = 1.4

Cell: 10.426 10.426 3.979 Å, 90.00 90.00 120.00°
Atoms (fractional coordinates):
Ir (0.438, 0.416, 0.750)
Ir (0.562, 0.584, 0.250)
Ir (0.416, 0.977, 0.250)
Ir (0.584, 0.023, 0.750)
Ir (0.977, 0.562, 0.750)
Ir (0.023, 0.438, 0.250)
I (0.398, 0.221, 0.250)
I (0.823, 0.602, 0.250)
I (0.221, 0.823, 0.750)
I (0.779, 0.177, 0.250)
I (0.177, 0.398, 0.750)
I (0.602, 0.779, 0.750)



Material: IrI
Method: DFT, PBE
State: optimized geometry

Properties
- magnetic moment (μB per cell) = 0.00
- VASP energy (eV/cell) = -142.805
- N(E_F) (states/eV per cell) = 26.88
- calculated volume (Å³ per cell) = 791
- symmetry = No. 70
- uncorrected formation energy (eV per formula unit) = 1.5

Cell: 8.132 13.150 7.398 Å, 90.00 90.00 90.00°
Atoms (fractional coordinates):
I (0.543, 0.250, 0.250)
I (0.457, 0.250, 0.750)
I (0.457, 0.750, 0.250)
I (0.957, 0.250, 0.250)
I (0.043, 0.750, 0.250)
I (0.793, 0.000, 0.000)
I (0.707, 0.500, 0.000)
I (0.793, 0.500, 0.500)
I (0.207, 0.500, 0.500)
I (0.207, 0.000, 0.000)
I (0.957, 0.750, 0.750)
I (0.293, 0.500, 0.000)
I (0.043, 0.250, 0.750)
I (0.293, 0.000, 0.500)
I (0.707, 0.000, 0.500)
I (0.543, 0.750, 0.750)
Ir (0.000, 0.901, 0.500)
Ir (0.500, 0.599, 0.500)
Ir (0.000, 0.401, 0.000)
Ir (0.750, 0.349, 0.750)
Ir (0.000, 0.099, 0.500)
Ir (0.250, 0.151, 0.250)
Ir (0.500, 0.401, 0.500)
Ir (0.250, 0.651, 0.750)
Ir (0.000, 0.599, 0.000)
Ir (0.750, 0.151, 0.750)
Ir (0.500, 0.901, 0.000)
Ir (0.250, 0.849, 0.750)
Ir (0.250, 0.349, 0.250)
Ir (0.750, 0.651, 0.250)
Ir (0.750, 0.849, 0.250)
Ir (0.500, 0.099, 0.000)



Material: IrI
Method: DFT, PBE
State: optimized geometry

Properties
- magnetic moment (μB per cell) = 0.00
- VASP energy (eV/cell) = -53.950
- N(E_F) (states/eV per cell) = 10.22
- calculated volume (Å³ per cell) = 278
- symmetry = No. 59
- uncorrected formation energy (eV per formula unit) = 1.4

Cell: 4.752 5.739 10.192 Å, 90.00 90.00 90.00°
Atoms (fractional coordinates):
Ir (0.000, 0.773, 0.500)
Ir (0.500, 0.375, 0.742)
Ir (0.500, 0.375, 0.258)
Ir (0.500, 0.227, 0.000)
Ir (0.000, 0.625, 0.242)
Ir (0.000, 0.625, 0.758)
I (0.000, 0.169, 0.331)
I (0.000, 0.405, 0.000)
I (0.500, 0.831, 0.169)
I (0.500, 0.831, 0.831)
I (0.500, 0.595, 0.500)
I (0.000, 0.169, 0.669)



Material: IrI
Method: DFT, PBE
State: optimized geometry

Properties
- magnetic moment (μB per cell) = 0.00
- VASP energy (eV/cell) = -35.878
- N(E_F) (states/eV per cell) = 3.69
- calculated volume (Å³ per cell) = 223
- symmetry = No. 136
- uncorrected formation energy (eV per formula unit) = 1.4

Cell: 7.595 7.595 3.868 Å, 90.00 90.00 90.00°
Atoms (fractional coordinates):
Ir (0.619, 0.619, 0.000)
Ir (0.881, 0.119, 0.500)
Ir (0.381, 0.381, 0.000)
Ir (0.119, 0.881, 0.500)
I (0.784, 0.784, 0.500)
I (0.284, 0.716, 0.000)
I (0.716, 0.284, 0.000)
I (0.216, 0.216, 0.500)



Material: IrI3
Method: DFT, PBE
State: optimized geometry

Properties
- magnetic moment (μB per cell) = 0.55
- VASP energy (eV/cell) = -8.435
- N(E_F) (states/eV per cell) = 4.51
- calculated volume (Å³ per cell) = 107
- symmetry = No. 225
- uncorrected formation energy (eV per formula unit) = 5.1

Cell: 5.333 5.333 5.333 Å, 60.00 60.00 60.00°
Each line ends with the local moment (μB).
Atoms (fractional coordinates):
I (0.250, 0.250, 0.250)  0.02
I (0.000, 0.000, 0.000)  -0.08
I (0.750, 0.750, 0.750)  0.02
Ir (0.500, 0.500, 0.500)  0.59



Material: IrI
Method: DFT, PBE
State: optimized geometry

Properties
- magnetic moment (μB per cell) = 0.00
- VASP energy (eV/cell) = -73.324
- N(E_F) (states/eV per cell) = 12.80
- calculated volume (Å³ per cell) = 480
- symmetry = No. 87
- uncorrected formation energy (eV per formula unit) = 1.2

Cell: 10.922 10.922 4.020 Å, 90.00 90.00 90.00°
Atoms (fractional coordinates):
Ir (0.213, 0.311, 0.500)
Ir (0.689, 0.213, 0.500)
Ir (0.189, 0.713, 0.000)
Ir (0.287, 0.189, 0.000)
Ir (0.311, 0.787, 0.500)
Ir (0.811, 0.287, 0.000)
Ir (0.713, 0.811, 0.000)
Ir (0.787, 0.689, 0.500)
I (0.028, 0.735, 0.500)
I (0.972, 0.265, 0.500)
I (0.472, 0.765, 0.000)
I (0.735, 0.972, 0.500)
I (0.265, 0.028, 0.500)
I (0.765, 0.528, 0.000)
I (0.528, 0.235, 0.000)
I (0.235, 0.472, 0.000)



Material: IrI
Method: DFT, PBE
State: optimized geometry

Properties
- magnetic moment (μB per cell) = 0.00
- VASP energy (eV/cell) = -54.143
- N(E_F) (states/eV per cell) = 7.34
- calculated volume (Å³ per cell) = 288
- symmetry = No. 31
- uncorrected formation energy (eV per formula unit) = 1.4

Cell: 12.341 4.688 4.983 Å, 90.00 90.00 90.00°
Atoms (fractional coordinates):
I (0.170, 0.331, 0.813)
I (0.000, 0.804, 0.284)
I (0.500, 0.196, 0.784)
I (0.830, 0.331, 0.813)
I (0.670, 0.669, 0.313)
I (0.330, 0.669, 0.313)
Ir (0.500, 0.700, 0.006)
Ir (0.196, 0.104, 0.293)
Ir (0.696, 0.896, 0.793)
Ir (0.304, 0.896, 0.793)
Ir (0.000, 0.300, 0.506)
Ir (0.804, 0.104, 0.293)



Material: IrI
Method: DFT, PBE
State: optimized geometry

Properties
- magnetic moment (μB per cell) = 0.18
- VASP energy (eV/cell) = -33.583
- N(E_F) (states/eV per cell) = 13.62
- calculated volume (Å³ per cell) = 172
- symmetry = No. 225
- uncorrected formation energy (eV per formula unit) = 2.0

Cell: 5.561 5.561 5.561 Å, 90.00 90.00 90.00°
Atoms (fractional coordinates):
I (0.500, 0.500, 0.000)
I (0.000, 0.000, 0.000)
I (0.000, 0.500, 0.500)
I (0.500, 0.000, 0.500)
Ir (0.500, 0.000, 0.000)
Ir (0.500, 0.500, 0.500)
Ir (0.000, 0.500, 0.000)
Ir (0.000, 0.000, 0.500)



Material: IrI3
Method: DFT, PBE
State: optimized geometry

Properties
- magnetic moment (μB per cell) = 0.00
- VASP energy (eV/cell) = -12.369
- N(E_F) (states/eV per cell) = 1.30
- calculated volume (Å³ per cell) = 153
- symmetry = No. 44
- uncorrected formation energy (eV per formula unit) = 1.1

Cell: 3.690 7.590 6.894 Å, 123.40 105.52 90.00°
Atoms (fractional coordinates):
I (0.340, 0.749, 0.681)
I (0.500, 0.308, 0.000)
I (0.660, 0.069, 0.319)
Ir (0.000, 0.041, 0.000)



Material: IrI
Method: DFT, PBE
State: optimized geometry

Properties
- magnetic moment (μB per cell) = 0.00
- VASP energy (eV/cell) = -33.860
- N(E_F) (states/eV per cell) = 9.36
- calculated volume (Å³ per cell) = 215
- symmetry = No. 216
- uncorrected formation energy (eV per formula unit) = 1.9

Cell: 5.988 5.988 5.988 Å, 90.00 90.00 90.00°
Atoms (fractional coordinates):
I (0.250, 0.750, 0.750)
I (0.250, 0.250, 0.250)
I (0.750, 0.750, 0.250)
I (0.750, 0.250, 0.750)
Ir (0.500, 0.000, 0.500)
Ir (0.500, 0.500, 0.000)
Ir (0.000, 0.500, 0.500)
Ir (0.000, 0.000, 0.000)